(1)
Material: ScIBr3
Method: DFT, GGA-PBE
State: relaxed

Output
Energy   -3.155 eV per atom
V   48.29 A^3/atom
Crystal system   tetragonal
E_form (uncorrected)   -575 meV/atom
Offset from the most stable computed form   0.763 eV/atom
Fermi-level density of states   1.68 states/eV per atom

Lattice parameters (Å, degrees): 5.5923 5.5923 30.8832 90.00 90.00 90.00
Space group I-4m2 (No. 119)
Unique sites:
1 Sc 0.0000 0.0000 0.0000 (multiplicity 2)
2 Sc 0.0000 0.5000 0.2500 (multiplicity 2)
3 I 0.0000 0.5000 0.6547 (multiplicity 4)
4 Br 0.0000 0.0000 0.2500 (multiplicity 4)
5 Br 0.0000 0.2576 0.0656 (multiplicity 8)

---

(2)
Material: AlZnSb2
Method: DFT, GGA-PBE
State: relaxed

Output
Energy   -3.099 eV per atom
V   22.42 A^3/atom
Crystal system   cubic
E_form (uncorrected)   217 meV/atom
Offset from the most stable computed form   0.226 eV/atom
Fermi-level density of states   0.39 states/eV per atom

Lattice parameters (Å, degrees): 7.1050 7.1050 7.1050 90.00 90.00 90.00
Space group Fm-3m (No. 225)
Unique sites:
1 Al 0.0000 0.0000 0.0000 (multiplicity 4)
2 Zn 0.0000 0.0000 0.5000 (multiplicity 4)
3 Sb 0.2500 0.2500 0.2500 (multiplicity 8)

---

(3)
Material: BaNi2
Method: DFT, GGA-PBE
State: relaxed

Output
Energy   -4.377 eV per atom
V   22.84 A^3/atom
Crystal system   orthorhombic
Formation energy   0.12 eV per atom
Fermi-level density of states   1.42 states/eV per atom

Lattice parameters (Å, degrees): 5.7784 4.0590 11.6871 90.00 90.00 90.00
Space group Pnma (No. 62)
Unique sites:
1 Ba 0.1143 0.2500 0.1441 (multiplicity 4)
2 Ni 0.0870 0.2500 0.4637 (multiplicity 4)
3 Ni 0.1365 0.7500 0.3663 (multiplicity 4)

---

(4)
Material: K3HfS3
Method: DFT, GGA-PBE
State: relaxed

Output
Energy   -4.957 eV per atom
V   31.29 A^3/atom
Crystal system   monoclinic
E_form (uncorrected)   -1296 meV/atom
Offset from the most stable computed form   0.000 eV/atom
Fermi-level density of states   0.01 states/eV per atom

Lattice parameters (Å, degrees): 8.7587 13.2313 7.7100 90.00 101.28 90.00
Space group C2/m (No. 12)
Unique sites:
1 K 0.0000 0.1730 0.0000 (multiplicity 4)
2 K 0.0000 0.2639 0.5000 (multiplicity 4)
3 K 0.1116 0.5000 0.8450 (multiplicity 4)
4 Hf 0.1735 0.0000 0.6402 (multiplicity 4)
5 S 0.0963 0.0000 0.3101 (multiplicity 4)
6 S 0.2006 0.3516 0.2228 (multiplicity 8)